[1]
# KMg2Cu, relaxed, DFT GGA-PBE
# total moment	0.0	μB/cell
# total DFT energy (no corrections)	-1.61	eV/atom
# offset from the most stable computed form	0.3444	eV/atom
# ΔH_f (0 K)	187	kJ/mol of formula units
# crystal system	orthorhombic
data_KMg2Cu
_cell_length_a 6.204
_cell_length_b 10.874
_cell_length_c 3.092
_cell_angle_alpha 90.00
_cell_angle_beta 90.00
_cell_angle_gamma 90.00
_symmetry_space_group_name_H-M 'C m m m'
_symmetry_Int_Tables_number 65
_symmetry_space_group_name_Hall '-C 2 2'
loop_
_atom_site_label
_atom_site_fract_x
_atom_site_fract_y
_atom_site_fract_z
K1 0.000 0.000 0.000
Mg1 0.250 0.250 0.500
Cu1 0.000 0.500 0.000

[2]
# KMgCu2, relaxed, DFT GGA-PBE
# total moment	0.0	μB/cell
# total DFT energy (no corrections)	-2.49	eV/atom
# offset from the most stable computed form	0.0000	eV/atom
# ΔH_f (0 K)	88	kJ/mol of formula units
# crystal system	monoclinic
data_KMgCu2
_cell_length_a 3.190
_cell_length_b 3.742
_cell_length_c 7.437
_cell_angle_alpha 90.00
_cell_angle_beta 90.19
_cell_angle_gamma 90.00
_symmetry_space_group_name_H-M 'P 1 2/m 1'
_symmetry_Int_Tables_number 10
_symmetry_space_group_name_Hall '-P 2y'
loop_
_atom_site_label
_atom_site_fract_x
_atom_site_fract_y
_atom_site_fract_z
K1 0.000 0.000 0.000
Mg1 0.000 0.000 0.500
Cu1 0.498 0.500 0.335

[3]
# KMgCu2, relaxed, DFT GGA-PBE
# total moment	0.0	μB/cell
# total DFT energy (no corrections)	-2.48	eV/atom
# offset from the most stable computed form	0.0113	eV/atom
# ΔH_f (0 K)	92	kJ/mol of formula units
# crystal system	orthorhombic
data_KMgCu2
_cell_length_a 3.125
_cell_length_b 3.466
_cell_length_c 8.231
_cell_angle_alpha 90.00
_cell_angle_beta 90.00
_cell_angle_gamma 90.00
_symmetry_space_group_name_H-M 'P m m 2'
_symmetry_Int_Tables_number 25
_symmetry_space_group_name_Hall 'P 2 -2'
loop_
_atom_site_label
_atom_site_fract_x
_atom_site_fract_y
_atom_site_fract_z
K1 0.000 0.000 0.000
Mg1 0.500 0.500 0.384
Cu1 0.000 0.000 0.588
Cu2 0.500 0.500 0.697

[4]
# K2MgCu, relaxed, DFT GGA-PBE
# total moment	0.0	μB/cell
# total DFT energy (no corrections)	-1.72	eV/atom
# ΔH_f (0 K)	95	kJ/mol of formula units
# crystal system	monoclinic
data_K2MgCu
_cell_length_a 5.259
_cell_length_b 4.694
_cell_length_c 6.907
_cell_angle_alpha 90.00
_cell_angle_beta 112.31
_cell_angle_gamma 90.00
_symmetry_space_group_name_H-M 'P 1 m 1'
_symmetry_Int_Tables_number 6
_symmetry_space_group_name_Hall 'P -2y'
loop_
_atom_site_label
_atom_site_fract_x
_atom_site_fract_y
_atom_site_fract_z
K1 0.000 0.000 0.000
K2 0.297 0.500 0.594
Mg1 0.691 0.000 0.383
Cu1 0.595 0.500 0.197

[5]
# K2Mg2Cu, relaxed, DFT GGA-PBE
# total moment	0.0	μB/cell
# total DFT energy (no corrections)	-1.55	eV/atom
# offset from the most stable computed form	0.0000	eV/atom
# ΔH_f (0 K)	168	kJ/mol of formula units
# crystal system	tetragonal
data_K2Mg2Cu
_cell_length_a 4.176
_cell_length_b 4.176
_cell_length_c 21.252
_cell_angle_alpha 90.00
_cell_angle_beta 90.00
_cell_angle_gamma 90.00
_symmetry_space_group_name_H-M 'I 4/m m m'
_symmetry_Int_Tables_number 139
_symmetry_space_group_name_Hall '-I 4 2'
loop_
_atom_site_label
_atom_site_fract_x
_atom_site_fract_y
_atom_site_fract_z
K1 0.000 0.000 0.091
Mg1 0.000 0.500 0.250
Cu1 0.000 0.000 0.500

[6]
# K2MgCu, relaxed, DFT GGA-PBE
# total moment	0.0	μB/cell
# total DFT energy (no corrections)	-1.56	eV/atom
# ΔH_f (0 K)	158	kJ/mol of formula units
# crystal system	orthorhombic
data_K2MgCu
_cell_length_a 5.573
_cell_length_b 5.585
_cell_length_c 9.372
_cell_angle_alpha 90.00
_cell_angle_beta 90.00
_cell_angle_gamma 90.00
_symmetry_space_group_name_H-M 'I m m m'
_symmetry_Int_Tables_number 71
_symmetry_space_group_name_Hall '-I 2 2'
loop_
_atom_site_label
_atom_site_fract_x
_atom_site_fract_y
_atom_site_fract_z
K1 0.000 0.000 0.250
Mg1 0.000 0.500 0.000
Cu1 0.000 0.500 0.500

[7]
# KNaMgCu2, relaxed, DFT GGA-PBE
# total moment	0.0	μB/cell
# total DFT energy (no corrections)	-1.63	eV/atom
# ΔH_f (0 K)	393	kJ/mol of formula units
# crystal system	tetragonal
data_KNaMgCu2
_cell_length_a 5.181
_cell_length_b 5.181
_cell_length_c 5.445
_cell_angle_alpha 90.00
_cell_angle_beta 90.00
_cell_angle_gamma 90.00
_symmetry_space_group_name_H-M 'P 4/m m m'
_symmetry_Int_Tables_number 123
_symmetry_space_group_name_Hall '-P 4 2'
loop_
_atom_site_label
_atom_site_fract_x
_atom_site_fract_y
_atom_site_fract_z
K1 0.000 0.000 0.000
Na1 0.000 0.000 0.500
Mg1 0.500 0.500 0.000
Cu1 0.000 0.500 0.500

[8]
# KNaMg2Cu, relaxed, DFT GGA-PBE
# total moment	0.0	μB/cell
# total DFT energy (no corrections)	-1.81	eV/atom
# ΔH_f (0 K)	65	kJ/mol of formula units
# crystal system	tetragonal
data_KNaMg2Cu
_cell_length_a 5.152
_cell_length_b 5.152
_cell_length_c 5.697
_cell_angle_alpha 90.00
_cell_angle_beta 90.00
_cell_angle_gamma 90.00
_symmetry_space_group_name_H-M 'P 4/m m m'
_symmetry_Int_Tables_number 123
_symmetry_space_group_name_Hall '-P 4 2'
loop_
_atom_site_label
_atom_site_fract_x
_atom_site_fract_y
_atom_site_fract_z
K1 0.000 0.000 0.000
Na1 0.500 0.500 0.000
Mg1 0.000 0.500 0.500
Cu1 0.500 0.500 0.500

What did the second record say?
# KMgCu2, relaxed, DFT GGA-PBE
# total moment	0.0	μB/cell
# total DFT energy (no corrections)	-2.49	eV/atom
# offset from the most stable computed form	0.0000	eV/atom
# ΔH_f (0 K)	88	kJ/mol of formula units
# crystal system	monoclinic
data_KMgCu2
_cell_length_a 3.190
_cell_length_b 3.742
_cell_length_c 7.437
_cell_angle_alpha 90.00
_cell_angle_beta 90.19
_cell_angle_gamma 90.00
_symmetry_space_group_name_H-M 'P 1 2/m 1'
_symmetry_Int_Tables_number 10
_symmetry_space_group_name_Hall '-P 2y'
loop_
_atom_site_label
_atom_site_fract_x
_atom_site_fract_y
_atom_site_fract_z
K1 0.000 0.000 0.000
Mg1 0.000 0.000 0.500
Cu1 0.498 0.500 0.335

Q: Which value of ΔH_f (0 K) does entry 8 give?
A: 65 kJ/mol of formula units

Q: Number 2 is which compound?
A: KMgCu2